# 1
# PBE-GGA LaMo2Se, relaxed
data_LaMo2Se
_cell_length_a 3.166
_cell_length_b 3.166
_cell_length_c 8.705
_cell_angle_alpha 90.00
_cell_angle_beta 90.00
_cell_angle_gamma 115.35
_space_group_name_H-M_alt 'P 1'
_space_group_IT_number 1
loop_
_space_group_symop_operation_xyz
'x,y,z'
loop_
_atom_site_label
_atom_site_fract_x
_atom_site_fract_y
_atom_site_fract_z
_atom_site_occupancy
La1 0.000 0.000 0.000 1
Mo1 0.500 0.500 0.287 1
Mo2 0.500 0.500 0.713 1
Se1 0.000 0.000 0.500 1
# space group = Cmmm
# E_form (uncorrected) = 0.575 eV/atom
# total moment = 0.0 μB/f.u.

=====

# 2
# PBE-GGA ZrCoRhAu, relaxed
data_ZrCoRhAu
_cell_length_a 4.488
_cell_length_b 4.488
_cell_length_c 4.488
_cell_angle_alpha 60.00
_cell_angle_beta 60.00
_cell_angle_gamma 60.00
_space_group_name_H-M_alt 'P 1'
_space_group_IT_number 1
loop_
_space_group_symop_operation_xyz
'x,y,z'
loop_
_atom_site_label
_atom_site_fract_x
_atom_site_fract_y
_atom_site_fract_z
_atom_site_occupancy
Zr1 0.000 0.000 0.000 1
Co1 0.250 0.250 0.250 1
Rh1 0.750 0.750 0.750 1
Au1 0.500 0.500 0.500 1
# space group = F-43m
# total moment = 0.7 μB/f.u.
# energy relative to the elements = -0.29 eV/atom

=====

# 3
# PBE-GGA HfCu5Pd4, relaxed
data_HfCu5Pd4
_cell_length_a 4.620
_cell_length_b 5.437
_cell_length_c 6.183
_cell_angle_alpha 76.78
_cell_angle_beta 74.44
_cell_angle_gamma 75.72
_space_group_name_H-M_alt 'P 1'
_space_group_IT_number 1
loop_
_space_group_symop_operation_xyz
'x,y,z'
loop_
_atom_site_label
_atom_site_fract_x
_atom_site_fract_y
_atom_site_fract_z
_atom_site_occupancy
Hf1 0.000 0.000 0.000 1
Cu1 0.000 0.500 0.000 1
Cu2 0.210 0.791 0.590 1
Cu3 0.420 0.594 0.193 1
Cu4 0.580 0.406 0.807 1
Cu5 0.790 0.209 0.410 1
Pd1 0.189 0.303 0.609 1
Pd2 0.385 0.110 0.207 1
Pd3 0.615 0.890 0.793 1
Pd4 0.811 0.697 0.391 1
# space group = P-1
# total moment = 0.0 μB/f.u.
# energy relative to the elements = -0.30 eV/atom

=====

# 4
# PBE-GGA Ce3NdY4S8, relaxed
data_Ce3NdY4S8
_cell_length_a 7.987
_cell_length_b 7.987
_cell_length_c 7.987
_cell_angle_alpha 59.46
_cell_angle_beta 59.46
_cell_angle_gamma 59.46
_space_group_name_H-M_alt 'P 1'
_space_group_IT_number 1
loop_
_space_group_symop_operation_xyz
'x,y,z'
loop_
_atom_site_label
_atom_site_fract_x
_atom_site_fract_y
_atom_site_fract_z
_atom_site_occupancy
Ce1 0.000 0.500 0.500 1
Ce2 0.500 0.000 0.500 1
Ce3 0.500 0.500 0.000 1
Nd1 0.000 0.000 0.000 1
Y1 0.000 0.000 0.500 1
Y2 0.000 0.500 0.000 1
Y3 0.500 0.000 0.000 1
Y4 0.500 0.500 0.500 1
S1 0.246 0.246 0.246 1
S2 0.248 0.745 0.745 1
S3 0.255 0.255 0.752 1
S4 0.255 0.752 0.255 1
S5 0.745 0.248 0.745 1
S6 0.745 0.745 0.248 1
S7 0.752 0.255 0.255 1
S8 0.754 0.754 0.754 1
# space group = R-3m
# E_form (uncorrected) = -2.028 eV/atom
# total moment = 2.1 μB/f.u.

=====

# 5
# PBE-GGA Dy2Ho5Ru4, relaxed
data_Dy2Ho5Ru4
_cell_length_a 11.836
_cell_length_b 11.836
_cell_length_c 6.928
_cell_angle_alpha 96.49
_cell_angle_beta 96.49
_cell_angle_gamma 16.63
_space_group_name_H-M_alt 'P 1'
_space_group_IT_number 1
loop_
_space_group_symop_operation_xyz
'x,y,z'
loop_
_atom_site_label
_atom_site_fract_x
_atom_site_fract_y
_atom_site_fract_z
_atom_site_occupancy
Dy1 0.232 0.232 0.280 1
Dy2 0.768 0.768 0.720 1
Ho1 0.000 0.000 0.000 1
Ho2 0.372 0.372 0.117 1
Ho3 0.406 0.406 0.609 1
Ho4 0.594 0.594 0.391 1
Ho5 0.628 0.628 0.883 1
Ru1 0.175 0.175 0.613 1
Ru2 0.477 0.477 0.307 1
Ru3 0.523 0.523 0.693 1
Ru4 0.825 0.825 0.387 1
# space group = C2/m
# total moment = 0.0 μB/f.u.
# energy relative to the elements = -0.10 eV/atom

=====

# 6
# PBE-GGA AcCd6Pd12, relaxed
data_AcCd6Pd12
_cell_length_a 7.557
_cell_length_b 7.557
_cell_length_c 7.557
_cell_angle_alpha 105.84
_cell_angle_beta 105.84
_cell_angle_gamma 105.84
_space_group_name_H-M_alt 'P 1'
_space_group_IT_number 1
loop_
_space_group_symop_operation_xyz
'x,y,z'
loop_
_atom_site_label
_atom_site_fract_x
_atom_site_fract_y
_atom_site_fract_z
_atom_site_occupancy
Ac1 0.000 0.000 0.000 1
Cd1 0.295 0.295 0.704 1
Cd2 0.295 0.704 0.295 1
Cd3 0.296 0.705 0.705 1
Cd4 0.704 0.295 0.295 1
Cd5 0.705 0.296 0.705 1
Cd6 0.705 0.705 0.296 1
Pd1 0.112 0.500 0.888 1
Pd2 0.112 0.888 0.500 1
Pd3 0.120 0.360 0.360 1
Pd4 0.360 0.120 0.360 1
Pd5 0.360 0.360 0.120 1
Pd6 0.500 0.112 0.888 1
Pd7 0.500 0.888 0.112 1
Pd8 0.640 0.640 0.880 1
Pd9 0.640 0.880 0.640 1
Pd10 0.880 0.640 0.640 1
Pd11 0.888 0.112 0.500 1
Pd12 0.888 0.500 0.112 1
# space group = R-3m
# total moment = 0.0 μB/f.u.
# energy relative to the elements = -0.25 eV/atom

=====

# 7
# PBE-GGA Zn2SbOs, relaxed
data_Zn2SbOs
_cell_length_a 3.485
_cell_length_b 3.485
_cell_length_c 5.459
_cell_angle_alpha 90.00
_cell_angle_beta 90.00
_cell_angle_gamma 90.00
_space_group_name_H-M_alt 'P 1'
_space_group_IT_number 1
loop_
_space_group_symop_operation_xyz
'x,y,z'
loop_
_atom_site_label
_atom_site_fract_x
_atom_site_fract_y
_atom_site_fract_z
_atom_site_occupancy
Zn1 0.000 0.000 0.224 1
Zn2 0.000 0.000 0.776 1
Sb1 0.500 0.500 0.500 1
Os1 0.500 0.500 0.000 1
# space group = P4/mmm
# E_form (uncorrected) = 0.343 eV/atom
# total moment = 0.0 μB/f.u.

=====

# 8
# PBE-GGA ZrAsO2, relaxed
data_ZrAsO2
_cell_length_a 6.275
_cell_length_b 6.275
_cell_length_c 6.275
_cell_angle_alpha 122.39
_cell_angle_beta 122.39
_cell_angle_gamma 85.91
_space_group_name_H-M_alt 'P 1'
_space_group_IT_number 1
loop_
_space_group_symop_operation_xyz
'x,y,z'
loop_
_atom_site_label
_atom_site_fract_x
_atom_site_fract_y
_atom_site_fract_z
_atom_site_occupancy
Zr1 0.000 0.000 0.000 1
Zr2 0.750 0.250 0.500 1
As1 0.250 0.750 0.500 1
As2 0.500 0.500 0.000 1
O1 0.375 0.212 0.337 1
O2 0.788 0.125 0.163 1
O3 0.875 0.038 0.663 1
O4 0.962 0.625 0.837 1
# space group = I-42d
# E_form (uncorrected) = -1.607 eV/atom
# total moment = 0.0 μB/f.u.

=====

# 9
# PBE-GGA CoPd2Cl, relaxed
data_CoPd2Cl
_cell_length_a 5.643
_cell_length_b 5.643
_cell_length_c 5.643
_cell_angle_alpha 103.12
_cell_angle_beta 103.12
_cell_angle_gamma 123.09
_space_group_name_H-M_alt 'P 1'
_space_group_IT_number 1
loop_
_space_group_symop_operation_xyz
'x,y,z'
loop_
_atom_site_label
_atom_site_fract_x
_atom_site_fract_y
_atom_site_fract_z
_atom_site_occupancy
Co1 0.000 0.000 0.000 1
Co2 0.750 0.250 0.500 1
Pd1 0.108 0.625 0.983 1
Pd2 0.375 0.358 0.483 1
Pd3 0.642 0.125 0.017 1
Pd4 0.875 0.892 0.517 1
Cl1 0.250 0.750 0.500 1
Cl2 0.500 0.500 0.000 1
# space group = I-42d
# E_form (uncorrected) = 0.484 eV/atom
# energy above the lowest structure with this stoichiometry = 12.0 meV/atom
# total moment = 2.7 μB/f.u.

=====

# 10
# PBE-GGA AcSn8Pd2, relaxed
data_AcSn8Pd2
_cell_length_a 6.455
_cell_length_b 6.455
_cell_length_c 8.319
_cell_angle_alpha 90.00
_cell_angle_beta 90.00
_cell_angle_gamma 90.00
_space_group_name_H-M_alt 'P 1'
_space_group_IT_number 1
loop_
_space_group_symop_operation_xyz
'x,y,z'
loop_
_atom_site_label
_atom_site_fract_x
_atom_site_fract_y
_atom_site_fract_z
_atom_site_occupancy
Ac1 0.000 0.000 0.000 1
Sn1 0.256 0.256 0.304 1
Sn2 0.256 0.256 0.696 1
Sn3 0.256 0.744 0.304 1
Sn4 0.256 0.744 0.696 1
Sn5 0.744 0.256 0.304 1
Sn6 0.744 0.256 0.696 1
Sn7 0.744 0.744 0.304 1
Sn8 0.744 0.744 0.696 1
Pd1 0.000 0.500 0.500 1
Pd2 0.500 0.000 0.500 1
# space group = P4/mmm
# total moment = 0.0 μB/f.u.
# energy relative to the elements = -0.22 eV/atom

=====

# 11
# PBE-GGA LiPd7Au12, relaxed
data_LiPd7Au12
_cell_length_a 7.486
_cell_length_b 7.486
_cell_length_c 7.486
_cell_angle_alpha 107.01
_cell_angle_beta 107.01
_cell_angle_gamma 107.01
_space_group_name_H-M_alt 'P 1'
_space_group_IT_number 1
loop_
_space_group_symop_operation_xyz
'x,y,z'
loop_
_atom_site_label
_atom_site_fract_x
_atom_site_fract_y
_atom_site_fract_z
_atom_site_occupancy
Li1 0.000 0.000 0.000 1
Pd1 0.019 0.905 0.320 1
Pd2 0.095 0.680 0.981 1
Pd3 0.320 0.019 0.905 1
Pd4 0.500 0.500 0.500 1
Pd5 0.680 0.981 0.095 1
Pd6 0.905 0.320 0.019 1
Pd7 0.981 0.095 0.680 1
Au1 0.038 0.300 0.406 1
Au2 0.227 0.663 0.362 1
Au3 0.300 0.406 0.038 1
Au4 0.337 0.638 0.773 1
Au5 0.362 0.227 0.663 1
Au6 0.406 0.038 0.300 1
Au7 0.594 0.962 0.700 1
Au8 0.638 0.773 0.337 1
Au9 0.663 0.362 0.227 1
Au10 0.700 0.594 0.962 1
Au11 0.773 0.337 0.638 1
Au12 0.962 0.700 0.594 1
# space group = R-3
# total moment = 0.0 μB/f.u.
# energy relative to the elements = -0.04 eV/atom